TcSnP: optimized geometry, PBE.

## Properties
Density in g/cm³: 7.8
DFT formation energy in kcal/mol of atoms: -4.22
Energy relative to the lowest polymorph listed for this composition in meV per atom: 99
E_tot in eV per atom: -6.776

Cell: 5.3764 3.1511 6.7084 Å, 90.00 111.09 90.00°
Space group P2_1/m (No. 11)
Asymmetric unit:
Tc (0.1048, 0.2500, 0.1932) (multiplicity 2)
Sn (0.2784, 0.7500, 0.5835) (multiplicity 2)
P (0.3297, 0.7500, 0.0573) (multiplicity 2)


BiBO2: optimized geometry, PBE.

## Properties
Density in g/cm³: 9.6
Energy relative to the lowest polymorph listed for this composition in meV per atom: 103
Formation energy without anion corrections in eV per atom: -1.17
E_tot in eV per atom: -6.285

Cell: 7.0396 7.0396 7.0396 Å, 90.00 90.00 90.00°
Space group Fd-3m (No. 227, origin choice 2)
Asymmetric unit:
Bi (0.1250, 0.1250, 0.1250) (multiplicity 8)
B (0.1250, 0.1250, 0.6250) (multiplicity 8)
O (0.0000, 0.0000, 0.5000) (multiplicity 16)


NaBRuN2: optimized geometry, PBE.

## Properties
Density in g/cm³: 4.3
Formation energy without anion corrections in eV per atom: 0.96
E_tot in eV per atom: -5.825

Cell: 3.9215 3.9215 4.1380 Å, 90.00 90.00 90.00°
Space group P4/mmm (No. 123)
Asymmetric unit:
Na (0.0000, 0.0000, 0.0000) (multiplicity 1)
B (0.5000, 0.5000, 0.0000) (multiplicity 1)
Ru (0.5000, 0.5000, 0.5000) (multiplicity 1)
N (0.0000, 0.5000, 0.5000) (multiplicity 2)


NaTcAgF6: optimized geometry, PBE.

## Properties
Density in g/cm³: 4.0
Formation energy without anion corrections in eV per atom: -2.08
E_tot in eV per atom: -4.945

Cell: 5.8003 5.8003 9.6978 Å, 90.00 90.00 120.00°
Space group P-31c (No. 163)
Asymmetric unit:
Na (0.3333, 0.6667, 0.2500) (multiplicity 2)
Tc (0.3333, 0.6667, 0.7500) (multiplicity 2)
Ag (0.0000, 0.0000, 0.0000) (multiplicity 2)
F (0.0463, 0.3861, 0.6376) (multiplicity 12)


ThCuIr: optimized geometry, PBE.

## Properties
Density in g/cm³: 13.1
DFT formation energy in kcal/mol of atoms: -7.75
Energy relative to the lowest polymorph listed for this composition in meV per atom: 196
E_tot in eV per atom: -7.129

Cell: 3.7867 3.7867 8.6473 Å, 90.00 90.00 90.00°
Space group I4mm (No. 107)
Asymmetric unit:
Th (0.0000, 0.0000, 0.0000) (multiplicity 2)
Cu (0.0000, 0.0000, 0.6752) (multiplicity 2)
Ir (0.0000, 0.0000, 0.3601) (multiplicity 2)